KSrP4 PBE-GGA optimized geometry; E = -4.20 eV per atom; energy relative to the elements = -0.133 eV/atom
1.0
0.000 3.989 3.989
3.989 0.000 3.989
3.989 3.989 0.000
K Sr P
1 1 4
direct
0.000 0.000 0.000 K
0.250 0.250 0.250 Sr
0.165 0.612 0.612 P
0.612 0.165 0.612 P
0.612 0.612 0.165 P
0.612 0.612 0.612 P



KSr4P PBE-GGA optimized geometry; E = -1.73 eV per atom; energy relative to the elements = 0.472 eV/atom
1.0
0.000 5.288 5.288
5.288 0.000 5.288
5.288 5.288 0.000
K Sr P
1 4 1
direct
0.000 0.000 0.000 K
0.376 0.376 0.376 Sr
0.376 0.376 0.871 Sr
0.376 0.871 0.376 Sr
0.871 0.376 0.376 Sr
0.750 0.750 0.750 P



KSrP2 PBE-GGA optimized geometry; relative energy among the computed polymorphs = 151 meV per atom; E = -3.89 eV per atom; energy relative to the elements = -0.493 eV/atom
1.0
-2.034 2.252 7.967
2.034 -2.252 7.967
2.034 2.252 -7.967
K Sr P
1 1 2
direct
0.000 0.000 0.000 K
0.214 0.714 0.500 Sr
0.591 0.591 0.000 P
0.665 0.165 0.500 P



KSrP2 PBE-GGA optimized geometry; relative energy among the computed polymorphs = 559 meV per atom; E = -3.48 eV per atom; energy relative to the elements = -0.085 eV/atom
1.0
-2.580 2.580 10.002
2.580 -2.580 10.002
2.580 2.580 -10.002
K Sr P
2 2 4
direct
0.000 0.000 0.000 K
0.750 0.250 0.500 K
0.250 0.750 0.500 Sr
0.500 0.500 0.000 Sr
0.264 0.625 0.139 P
0.375 0.514 0.639 P
0.486 0.125 0.861 P
0.875 0.736 0.361 P



KSrP2 PBE-GGA optimized geometry; relative energy among the computed polymorphs = 0 meV per atom; E = -4.04 eV per atom; energy relative to the elements = -0.645 eV/atom
1.0
3.970 0.000 0.000
0.000 4.233 0.000
-0.256 0.000 6.899
K Sr P
1 1 2
direct
0.000 0.000 0.000 K
0.000 0.000 0.500 Sr
0.491 0.500 0.341 P
0.509 0.500 0.659 P



KSrP2 PBE-GGA optimized geometry; relative energy among the computed polymorphs = 401 meV per atom; E = -3.64 eV per atom; energy relative to the elements = -0.244 eV/atom
1.0
3.347 -4.381 0.000
3.347 4.381 0.000
0.000 0.000 3.391
K Sr P
1 1 2
direct
0.000 0.000 0.000 K
0.500 0.500 0.000 Sr
0.000 0.500 0.500 P
0.500 0.000 0.500 P



KSrP2 PBE-GGA optimized geometry; relative energy among the computed polymorphs = 531 meV per atom; E = -3.51 eV per atom; energy relative to the elements = -0.114 eV/atom
1.0
2.436 -2.604 0.000
2.436 2.604 0.000
0.000 0.000 9.205
K Sr P
1 1 2
direct
0.000 0.000 0.000 K
0.500 0.500 0.573 Sr
0.000 0.000 0.337 P
0.500 0.500 0.265 P



KSr3P PBE-GGA optimized geometry; relative energy among the computed polymorphs = 0 meV per atom; E = -2.74 eV per atom; energy relative to the elements = -0.429 eV/atom
1.0
6.133 0.000 0.000
0.000 6.133 0.000
0.000 0.000 6.133
K Sr P
1 3 1
direct
0.000 0.000 0.000 K
0.000 0.500 0.500 Sr
0.500 0.000 0.500 Sr
0.500 0.500 0.000 Sr
0.500 0.500 0.500 P



Q: Among the records above, which one has the lowest energy relative to the elements?
A: number 5